The following is a SCAN calculation of a crystal of IrOsRh relaxed with PBEsol, from Alexandria via LeMat-Bulk.

Computed properties:
Excess energy over the best structure of this formula in the dataset ... 0 meV/atom
Total magnetic moment ... 0.00 μB/cell
E ... -58.929 eV/atom
SG ... No. 44

```
IrOsRh
1.0
-1.3472 1.9016 4.0360
1.3472 -1.9016 4.0360
1.3472 1.9016 -4.0360
Ir Os Rh
1 1 1
Cartesian
0.0000 0.0000 0.0000
0.0000 0.0000 5.3432
0.0000 0.0000 2.6512
```